Li2NdTl: relaxed, PBE.

The formation energy comes out at -0.26 eV per atom.

a b c (Å): 7.0079 7.0079 7.0079
angles (deg): 90.00 90.00 90.00
Closest atoms and distances in Å follow each position.
Space group Fm-3m (No. 225)
Inequivalent atoms, fractional coordinates:
Li1 0.2500 0.2500 0.2500 [8 per cell]  4 Tl 3.03, 4 Nd 3.03
Nd1 0.0000 0.0000 0.0000 [4 per cell]  8 Li 3.03
Tl1 0.0000 0.0000 0.5000 [4 per cell]  8 Li 3.03

UCo2Ge: relaxed, PBE.

The formation energy comes out at -0.05 eV per atom.

a b c (Å): 3.0089 3.8909 5.3451
angles (deg): 90.00 90.00 90.00
Closest atoms and distances in Å follow each position.
Space group Pmmm (No. 47)
Inequivalent atoms, fractional coordinates:
U1 0.0000 0.0000 0.0000 [1 per cell]  8 Co 2.78, 2 U 3.01, 4 Ge 3.07
Co1 0.5000 0.5000 0.2418 [2 per cell]  2 Ge 2.39, 1 Co 2.59
Ge1 0.5000 0.0000 0.5000 [1 per cell]  4 Co 2.39

GaTeHN2: relaxed, PBE.

The value obtained for the electronic total energy is -3.4043 eV per atom.

a b c (Å): 4.2172 4.2172 3.4561
angles (deg): 90.00 90.00 90.00
Closest atoms and distances in Å follow each position.
Space group P4/mmm (No. 123)
Inequivalent atoms, fractional coordinates:
Ga1 0.0000 0.0000 0.0000 [1 per cell]  8 N 2.73, 4 Te 2.98
Te1 0.5000 0.5000 0.0000 [1 per cell]  2 H 1.73
H1 0.5000 0.5000 0.5000 [1 per cell]  2 Te 1.73
N1 0.0000 0.5000 0.5000 [2 per cell]  2 H 2.11

KCuOs: relaxed, PBE.

The formation energy comes out at 1.86 eV per atom.

a b c (Å): 6.5084 6.5084 6.5084
angles (deg): 90.00 90.00 90.00
Closest atoms and distances in Å follow each position.
Space group F-43m (No. 216)
Inequivalent atoms, fractional coordinates:
K1 0.0000 0.0000 0.0000 [4 per cell]  4 Cu 2.82
Cu1 0.2500 0.2500 0.2500 [4 per cell]  4 K 2.82, 4 Os 2.82
Os1 0.0000 0.0000 0.5000 [4 per cell]  4 Cu 2.82

La2Zn4Pt3Rh: relaxed, PBE.

The formation energy comes out at -0.75 eV per atom.

a b c (Å): 4.3029 4.3029 10.5573
angles (deg): 90.00 90.00 90.00
Closest atoms and distances in Å follow each position.
Space group P-4m2 (No. 115)
Inequivalent atoms, fractional coordinates:
La1 0.0000 0.5000 0.2365 [2 per cell]  8 Zn 3.26-3.52, 2 Rh 3.30, 6 Pt 3.30-3.32
Zn1 0.0000 0.0000 0.5000 [1 per cell]  4 Pt 2.59
Zn2 0.0000 0.5000 0.8737 [2 per cell]  3 Pt 2.50-2.53, 2 Rh 2.53
Zn3 0.5000 0.5000 0.5000 [1 per cell]  4 Pt 2.59
Pt1 0.0000 0.0000 0.0000 [1 per cell]  4 Zn 2.53
Pt2 0.0000 0.5000 0.6368 [2 per cell]  5 Zn 2.50-2.59
Rh1 0.5000 0.5000 0.0000 [1 per cell]  4 Zn 2.53

Pm2SnPb: relaxed, PBE.

The formation energy comes out at -0.50 eV per atom.

a b c (Å): 7.8035 7.8035 7.8035
angles (deg): 90.00 90.00 90.00
Closest atoms and distances in Å follow each position.
Space group Fm-3m (No. 225)
Inequivalent atoms, fractional coordinates:
Pm1 0.2500 0.2500 0.2500 [8 per cell]  4 Pb 3.38, 4 Sn 3.38
Sn1 0.0000 0.0000 0.0000 [4 per cell]  8 Pm 3.38
Pb1 0.0000 0.0000 0.5000 [4 per cell]  8 Pm 3.38